[1]
This record from Alexandria via LeMat-Bulk describes crystalline KCdMo2F at its relaxed geometry. The functional is PBE with a Hubbard U.

Computed properties:
Density, g/cm³: 3.3
E_tot, eV per cell: -14.21

```
data_KCdMo2F
_cell_length_a 6.3342
_cell_length_b 6.3342
_cell_length_c 4.5012
_cell_angle_alpha 90.00
_cell_angle_beta 90.00
_cell_angle_gamma 90.00
_space_group_name_H-M_alt 'P 4/m m m'
_space_group_IT_number 123
_space_group_name_Hall '-P 4 2'
loop_
_atom_site_label
_atom_site_fract_x
_atom_site_fract_y
_atom_site_fract_z
K1 0.0000 0.0000 0.0000
Cd1 0.5000 0.5000 0.5000
Mo1 0.0000 0.5000 0.0000
F1 0.0000 0.0000 0.5000
```

=====

[2]
This record from Alexandria via LeMat-Bulk describes crystalline KCd2MoF8 at its relaxed geometry. The functional is PBE with a Hubbard U.

Computed properties:
Density, g/cm³: 4.2
E_tot, eV per cell: -54.07

```
data_KCd2MoF8
_cell_length_a 5.1994
_cell_length_b 7.2954
_cell_length_c 5.2930
_cell_angle_alpha 90.00
_cell_angle_beta 90.73
_cell_angle_gamma 90.00
_space_group_name_H-M_alt 'P 1 2/m 1'
_space_group_IT_number 10
_space_group_name_Hall '-P 2y'
loop_
_atom_site_label
_atom_site_fract_x
_atom_site_fract_y
_atom_site_fract_z
K1 0.0000 0.0000 0.0000
Cd1 0.5000 0.2502 0.5000
Mo1 0.0000 0.5000 0.0000
F1 0.1847 0.2960 0.2138
F2 0.3002 0.5000 0.7224
F3 0.3550 0.0000 0.6980
```

=====

Question: Among the records above, which one has the lowest E_tot?
Answer: KCd2MoF8

=====

Question: Which of these has the highest density?
Answer: KCd2MoF8

=====

Question: What is the density in the second record?
Answer: 4.2 g/cm³

=====

Question: Look up the E_tot of the second one.
Answer: -54.07 eV per cell